{
  "formula": "GeI2N2",
  "functional": "GGA-PBE",
  "state": "relaxed",
  "dft_energy_ev_per_cell": -15.2,
  "n_ef_per_ev_atom": 0.49,
  "relative_energy_ev_per_fu": 10.19,
  "formation_energy_uncorrected_mev_per_atom": 1842.6,
  "lattice_angstrom": [[4.7616, 0.0000, 0.0000], [0.0000, 4.7616, 0.0000], [0.0000, 0.0000, 4.2036]],
  "species": ["Ge", "I", "I", "N", "N"],
  "frac_coords": [[0.0000, 0.0000, 0.0000], [0.0000, 0.5000, 0.5000], [0.5000, 0.0000, 0.5000], [0.5000, 0.5000, 0.0000], [0.5000, 0.5000, 0.5000]]
}